TaCoNO: optimized geometry, GGA+U.

Computed properties:
Total DFT energy (no corrections): -8.4921 eV per atom
Polymorph energy (0 for the lowest one): 0.0 meV per atom
Symmetry: No. 129

Geometry as CIF:
```
data_TaCoNO
_space_group_name_H-M_alt 'P 1'
_space_group_IT_number 1
_space_group_name_Hall 'P 1'
_cell_length_a 4.293
_cell_length_b 4.293
_cell_length_c 4.320
_cell_angle_alpha 90.00
_cell_angle_beta 90.00
_cell_angle_gamma 90.00
loop_
_atom_site_label
_atom_site_fract_x
_atom_site_fract_y
_atom_site_fract_z
Ta1 0.250 0.750 0.000
Ta2 0.750 0.250 0.000
Co1 0.250 0.250 0.431
Co2 0.750 0.750 0.569
N1 0.250 0.250 0.945
N2 0.750 0.750 0.055
O1 0.250 0.750 0.500
O2 0.750 0.250 0.500
```